## Tb4Nd2TmSc (GGA-PBE)

Data for a relaxed Tb4Nd2TmSc crystal.

Cell lengths 5.023, 5.023, 9.990 Å; angles 90.00, 90.00, 90.00 degrees
Space group P4/mmm (No. 123)
One atom of each set of equivalent atoms:
Tb  0.000  0.500  0.246 (multiplicity 4)
Nd  0.000  0.000  0.000 (multiplicity 1)
Nd  0.500  0.500  0.500 (multiplicity 1)
Tm  0.000  0.000  0.500 (multiplicity 1)
Sc  0.500  0.500  0.000 (multiplicity 1)

## Properties
Energy of formation (meV/atom): 33
V (Å³/cell): 252
Uncorrected energy (eV for the cell shown): -38.59

=====

## Tb2Nd5TmSc (GGA-PBE)

Data for a relaxed Tb2Nd5TmSc crystal.

Cell lengths 5.379, 21.916, 10.229 Å; angles 90.00, 90.00, 90.00 degrees
Space group Cmc2_1 (No. 36)
One atom of each set of equivalent atoms:
Tb  0.000  0.115  0.000 (multiplicity 4)
Tb  0.000  0.116  0.503 (multiplicity 4)
Nd  0.000  0.000  0.251 (multiplicity 4)
Nd  0.000  0.278  0.064 (multiplicity 4)
Nd  0.000  0.279  0.440 (multiplicity 4)
Nd  0.000  0.373  0.752 (multiplicity 4)
Nd  0.000  0.500  0.001 (multiplicity 4)
Tm  0.000  0.398  0.251 (multiplicity 4)
Sc  0.000  0.212  0.752 (multiplicity 4)

## Properties
Energy of formation (meV/atom): 122
V (Å³/cell): 1206
Uncorrected energy (eV for the cell shown): -171.21

=====

## TbNd5Tm2Sc (GGA-PBE)

Data for a relaxed TbNd5Tm2Sc crystal.

Cell lengths 5.357, 21.817, 10.260 Å; angles 90.00, 90.00, 90.00 degrees
Space group Cmc2_1 (No. 36)
One atom of each set of equivalent atoms:
Tb  0.000  0.101  0.000 (multiplicity 4)
Nd  0.000  0.000  0.250 (multiplicity 4)
Nd  0.000  0.126  0.500 (multiplicity 4)
Nd  0.000  0.221  0.187 (multiplicity 4)
Nd  0.000  0.221  0.812 (multiplicity 4)
Nd  0.000  0.499  0.000 (multiplicity 4)
Tm  0.000  0.384  0.747 (multiplicity 4)
Tm  0.000  0.385  0.253 (multiplicity 4)
Sc  0.000  0.286  0.499 (multiplicity 4)

## Properties
Energy of formation (meV/atom): 128
V (Å³/cell): 1199
Uncorrected energy (eV for the cell shown): -170.37

=====

## Tb2Nd2TmSc (GGA-PBE)

Data for a relaxed Tb2Nd2TmSc crystal.

Cell lengths 6.885, 5.598, 9.701 Å; angles 90.00, 90.00, 90.00 degrees
Space group Pmma (No. 51)
One atom of each set of equivalent atoms:
Tb  0.250  0.000  0.166 (multiplicity 2)
Tb  0.250  0.500  0.666 (multiplicity 2)
Nd  0.000  0.000  0.500 (multiplicity 2)
Nd  0.250  0.500  0.315 (multiplicity 2)
Tm  0.250  0.000  0.846 (multiplicity 2)
Sc  0.000  0.500  0.000 (multiplicity 2)

## Properties
Energy of formation (meV/atom): 97
V (Å³/cell): 374
Uncorrected energy (eV for the cell shown): -58.04

=====

## Tb6NdTm2Sc3 (GGA-PBE)

Data for a relaxed Tb6NdTm2Sc3 crystal.

Cell lengths 6.057, 10.485, 11.471 Å; angles 90.00, 100.11, 90.00 degrees
Space group C2/m (No. 12)
One atom of each set of equivalent atoms:
Tb  0.246  0.167  0.241 (multiplicity 8)
Tb  0.247  0.500  0.240 (multiplicity 4)
Nd  0.000  0.500  0.500 (multiplicity 2)
Tm  0.000  0.167  0.500 (multiplicity 4)
Sc  0.000  0.000  0.000 (multiplicity 2)
Sc  0.000  0.333  0.000 (multiplicity 4)

## Properties
Energy of formation (meV/atom): 45
V (Å³/cell): 717
Uncorrected energy (eV for the cell shown): -119.90

=====

## TbNdTm2Sc2 (GGA-PBE)

Data for a relaxed TbNdTm2Sc2 crystal.

Cell lengths 6.739, 9.510, 5.474 Å; angles 90.00, 90.00, 90.00 degrees
Space group Pnnm (No. 58)
One atom of each set of equivalent atoms:
Tb  0.000  0.000  0.000 (multiplicity 2)
Nd  0.000  0.500  0.500 (multiplicity 2)
Tm  0.248  0.166  0.500 (multiplicity 4)
Sc  0.250  0.333  0.000 (multiplicity 4)

## Properties
Energy of formation (meV/atom): 79
V (Å³/cell): 351
Uncorrected energy (eV for the cell shown): -61.07